(1)
The following is a DFT calculation (PBE) of crystalline Rb2AcInSe4 at its relaxed geometry.

Properties
Formation energy from raw total energies ... -118.2 kJ/mol of atoms
Theoretical density ... 5.16 g/cm³
Crystal system ... monoclinic
Symmetry ... C2/c

extended XYZ file:
```
16
Lattice="6.415 -6.488 0.000 6.415 6.488 0.000 -6.005 0.000 6.404" Properties=species:S:1:pos:R:3 pbc="T T T"
Rb 0.000 0.000 0.000
Rb -3.002 0.000 3.202
Rb 3.208 3.244 0.000
Rb 0.205 -3.244 3.202
Ac 0.205 3.244 3.202
Ac 3.208 -3.244 0.000
In 6.415 0.000 0.000
In 3.413 0.000 3.202
Se 0.527 3.005 6.279
Se 3.296 3.005 3.327
Se 0.540 0.090 3.508
Se 3.542 -0.090 0.306
Se 3.283 0.090 6.098
Se 6.286 -0.090 2.896
Se 3.529 -3.005 3.077
Se 6.299 -3.005 0.125
```

(2)
The following is a DFT calculation (PBE) of crystalline Rb4Ac3InTe8 at its relaxed geometry.

Properties
Formation energy from raw total energies ... -118.8 kJ/mol of atoms
Theoretical density ... 5.23 g/cm³
Crystal system ... trigonal
Symmetry ... R-3m

extended XYZ file:
```
16
Lattice="4.784 2.762 8.634 -4.784 2.762 8.634 0.000 -5.525 8.634" Properties=species:S:1:pos:R:3 pbc="T T T"
Rb 0.000 0.000 0.000
Rb -2.392 -1.381 8.634
Rb -2.392 1.381 17.267
Rb 0.000 2.762 8.634
Ac -4.784 0.000 12.950
Ac -2.392 1.381 4.317
Ac 2.392 1.381 4.317
In 0.000 0.000 12.950
Te 0.000 0.000 6.178
Te -2.250 -1.299 14.724
Te 0.000 -2.598 11.176
Te -2.250 1.299 11.176
Te 2.250 -1.299 14.724
Te 0.000 2.598 14.724
Te 2.250 1.299 11.176
Te 0.000 0.000 19.722
```

What did the second record say?
The following is a DFT calculation (PBE) of crystalline Rb4Ac3InTe8 at its relaxed geometry.

Properties
Formation energy from raw total energies ... -118.8 kJ/mol of atoms
Theoretical density ... 5.23 g/cm³
Crystal system ... trigonal
Symmetry ... R-3m

extended XYZ file:
```
16
Lattice="4.784 2.762 8.634 -4.784 2.762 8.634 0.000 -5.525 8.634" Properties=species:S:1:pos:R:3 pbc="T T T"
Rb 0.000 0.000 0.000
Rb -2.392 -1.381 8.634
Rb -2.392 1.381 17.267
Rb 0.000 2.762 8.634
Ac -4.784 0.000 12.950
Ac -2.392 1.381 4.317
Ac 2.392 1.381 4.317
In 0.000 0.000 12.950
Te 0.000 0.000 6.178
Te -2.250 -1.299 14.724
Te 0.000 -2.598 11.176
Te -2.250 1.299 11.176
Te 2.250 -1.299 14.724
Te 0.000 2.598 14.724
Te 2.250 1.299 11.176
Te 0.000 0.000 19.722
```